No. 1
A plane-wave DFT calculation with PBE was carried out for an optimized crystal structure of Rb2H2Cl.

Geometry as extended XYZ:
```
10
Lattice="-6.840 4.406 1.689 -3.164 -6.489 4.115 1.753 1.374 3.515" Properties=species:S:1:pos:R:3 pbc="T T T"
H -8.296 0.790 3.830
Rb -2.735 -2.980 4.993
Rb -5.515 2.272 4.326
Rb -6.453 -1.387 6.225
Cl 0.000 0.000 0.000
H -6.242 -4.215 4.762
Rb -1.797 0.679 3.094
Cl -5.002 -1.041 2.902
H -1.708 -2.872 1.975
H -3.762 2.132 1.043
```

DFT total energy = -2.68 eV/atom
total moment = 0.109 μB per atom



No. 2
A plane-wave DFT calculation with PBE was carried out for an optimized crystal structure of RbH2Cl3.

Geometry as extended XYZ:
```
12
Lattice="4.814 0.000 0.000 0.000 6.427 1.283 0.000 -0.317 11.264" Properties=species:S:1:pos:R:3 pbc="T T T"
H 3.610 1.041 8.790
Cl 1.203 5.914 4.743
Cl 1.203 1.468 10.606
H 1.203 5.070 3.756
Cl 1.203 3.562 7.699
Cl 3.610 2.549 4.848
Rb 3.610 1.397 1.484
Rb 1.203 4.714 11.063
Cl 3.610 4.642 1.940
Cl 3.610 0.196 7.804
H 1.203 4.337 6.659
H 3.610 1.773 5.888
```

DFT total energy = -3.16 eV/atom
total moment = 0.015 μB per atom



No. 3
A plane-wave DFT calculation with PBE was carried out for an optimized crystal structure of RbH2RhCl.

Geometry as extended XYZ:
```
5
Lattice="5.132 0.000 0.000 0.000 4.349 0.000 0.000 0.000 5.132" Properties=species:S:1:pos:R:3 pbc="T T T"
Rb 2.566 2.174 2.566
Cl 0.000 0.000 0.000
Rh 0.000 2.174 0.000
H 0.000 0.000 2.566
H 2.566 0.000 0.000
```

DFT total energy = -2.61 eV/atom
total moment = 0.315 μB per atom



No. 4
A plane-wave DFT calculation with PBE was carried out for an optimized crystal structure of Rb2HRhCl6.

Geometry as extended XYZ:
```
10
Lattice="7.771 0.000 0.000 0.000 7.771 0.000 3.885 3.885 4.547" Properties=species:S:1:pos:R:3 pbc="T T T"
Rb 3.885 7.771 2.273
Rh 0.000 0.000 0.000
Cl 3.885 3.885 1.574
Cl 1.643 6.128 0.000
H 3.885 3.885 0.000
Rb 7.771 3.885 2.273
Cl 7.771 7.771 2.973
Cl 6.128 6.128 0.000
Cl 6.128 1.643 0.000
Cl 1.643 1.643 0.000
```

DFT total energy = -3.38 eV/atom
total moment = 0.200 μB per atom



No. 5
A plane-wave DFT calculation with PBE was carried out for an optimized crystal structure of RbHRuCl6.

Geometry as extended XYZ:
```
9
Lattice="-0.853 -4.607 5.240 5.018 -5.086 3.403 1.475 5.658 2.422" Properties=species:S:1:pos:R:3 pbc="T T T"
Cl 0.044 -1.147 4.216
Cl 1.119 1.658 2.771
Ru 2.173 -0.146 3.801
Cl 2.081 0.944 5.863
Cl 3.449 -3.752 8.626
H 4.256 -4.993 8.121
Cl 3.227 -1.950 4.831
Cl 1.411 -5.843 6.978
Rb 5.420 0.139 6.713
```

DFT total energy = -3.56 eV/atom
total moment = 0.222 μB per atom



No. 6
A plane-wave DFT calculation with PBE was carried out for an optimized crystal structure of Rb2HRuCl6.

Geometry as extended XYZ:
```
10
Lattice="7.218 0.000 0.000 0.000 7.218 0.000 3.609 3.609 5.104" Properties=species:S:1:pos:R:3 pbc="T T T"
Rb 3.609 7.218 2.552
Ru 0.000 0.000 0.000
H 3.609 3.609 0.000
Rb 7.218 3.609 2.552
Cl 7.218 7.218 2.359
Cl 1.668 5.550 0.000
Cl 5.550 1.668 0.000
Cl 5.550 5.550 0.000
Cl 1.668 1.668 0.000
Cl 3.609 3.609 2.745
```

DFT total energy = -3.44 eV/atom
total moment = 0.300 μB per atom



No. 7
A plane-wave DFT calculation with PBE was carried out for an optimized crystal structure of RbHS2Cl.

Geometry as extended XYZ:
```
5
Lattice="6.993 0.000 0.000 0.000 6.993 0.000 0.000 0.000 6.236" Properties=species:S:1:pos:R:3 pbc="T T T"
S 0.000 3.496 0.000
H 3.496 3.496 3.118
Cl 0.000 0.000 3.118
S 3.496 0.000 0.000
Rb 0.000 0.000 0.000
```

DFT total energy = -1.93 eV/atom
total moment = 1.009 μB per atom



No. 8
A plane-wave DFT calculation with PBE was carried out for an optimized crystal structure of RbHSCl2.

Geometry as extended XYZ:
```
5
Lattice="5.697 0.000 0.000 0.000 5.697 0.000 0.000 0.000 3.400" Properties=species:S:1:pos:R:3 pbc="T T T"
H 0.000 0.000 0.000
Cl 0.000 2.848 0.000
S 0.000 0.000 1.700
Cl 2.848 0.000 0.000
Rb 2.848 2.848 1.700
```

DFT total energy = -2.72 eV/atom
total moment = 0.372 μB per atom



No. 9
A plane-wave DFT calculation with PBE was carried out for an optimized crystal structure of RbHS2Cl.

Geometry as extended XYZ:
```
5
Lattice="-2.458 1.854 -2.615 0.697 -2.907 -2.717 -5.948 -3.999 2.755" Properties=species:S:1:pos:R:3 pbc="T T T"
Cl -2.974 -1.999 1.377
S 0.348 -1.454 -1.358
H 0.000 0.000 0.000
Rb -3.855 -2.526 -1.288
S -1.229 0.927 -1.307
```

DFT total energy = -2.86 eV/atom
total moment = 0.000 μB per atom



No. 10
A plane-wave DFT calculation with PBE was carried out for an optimized crystal structure of Rb2HSCl6.

Geometry as extended XYZ:
```
10
Lattice="7.772 0.000 0.000 0.000 7.772 0.000 3.886 3.886 4.547" Properties=species:S:1:pos:R:3 pbc="T T T"
Cl 7.772 7.772 2.989
H 3.886 3.886 0.000
Cl 1.632 1.632 0.000
Cl 3.886 3.886 1.558
Cl 6.139 1.632 0.000
Cl 6.139 6.139 0.000
Rb 7.772 3.886 2.273
S 0.000 0.000 0.000
Cl 1.632 6.139 0.000
Rb 3.886 7.772 2.273
```

DFT total energy = -2.94 eV/atom
total moment = 0.000 μB per atom



No. 11
A plane-wave DFT calculation with PBE was carried out for an optimized crystal structure of Rb2H2SCl2.

Geometry as extended XYZ:
```
7
Lattice="-3.291 1.731 1.677 -4.873 -0.374 -4.217 -3.781 -5.592 3.313" Properties=species:S:1:pos:R:3 pbc="T T T"
Cl -3.239 -1.543 0.196
Cl -8.705 -2.692 0.577
S 0.000 0.000 0.000
Rb -5.658 -3.098 2.015
H -7.884 -4.869 -0.524
Rb -6.286 -1.137 -1.242
H -4.061 0.634 1.297
```

DFT total energy = -3.14 eV/atom
total moment = 0.000 μB per atom



No. 12
A plane-wave DFT calculation with PBE was carried out for an optimized crystal structure of RbHSCl2.

Geometry as extended XYZ:
```
5
Lattice="6.415 0.000 0.000 0.000 6.415 0.000 0.000 0.000 7.123" Properties=species:S:1:pos:R:3 pbc="T T T"
H 3.207 3.207 3.562
Rb 0.000 0.000 0.000
Cl 3.207 0.000 0.000
S 0.000 0.000 3.562
Cl 0.000 3.207 0.000
```

DFT total energy = -1.89 eV/atom
total moment = 0.808 μB per atom